An optimized crystal structure of Sm5ScS6, computed with PBE.

Cell lengths 6.862, 6.862, 6.865 Å; angles 99.59, 99.59, 120.13 degrees
Element x y z (fractional)
S  0.601  0.921  0.760
S  0.237  0.237  0.755
S  0.399  0.079  0.240
S  0.079  0.399  0.240
S  0.921  0.601  0.760
S  0.763  0.763  0.245
Sm  0.500  0.500  0.500
Sm  0.667  0.333  0.000
Sm  0.333  0.667  0.000
Sm  0.828  0.172  0.500
Sm  0.172  0.828  0.500
Sc  0.000  0.000  0.000

Values from the calculation:
The raw formation energy is -1.98 eV per atom. The calculation puts the total energy at -78.5 eV for the cell shown. The calculation puts the volume at 21.963 A^3/atom.

***

An optimized crystal structure of NdSm2Hg4, computed with PBE.

Cell lengths 5.758, 5.758, 8.830 Å; angles 109.03, 109.03, 90.00 degrees
Element x y z (fractional)
Nd  0.000  0.000  0.000
Hg  0.500  0.000  0.000
Hg  0.000  0.500  0.000
Hg  0.801  0.801  0.601
Hg  0.199  0.199  0.399
Sm  0.399  0.399  0.797
Sm  0.601  0.601  0.203

Values from the calculation:
The calculation puts the total energy at -15.2 eV for the cell shown. The calculation puts the volume at 37.109 A^3/atom. The calculation puts the formation enthalpy at 0 K at 0.027 eV/atom. The excess energy over the best structure of this formula in the dataset is 2.519 eV/f.u.